# 1
KBaTe2 | PBE | relaxed

Lattice parameters (Å, degrees): 8.0063 8.0063 8.0063 38.15 38.15 38.15
Positions (direct):
K1 0.0000 0.0000 0.0000
Ba1 0.1745 0.1745 0.1745
Te1 0.5912 0.5912 0.5912
Te2 0.7546 0.7546 0.7546

Results
The symmetry is No. 160. The calculation puts the formation energy without anion corrections at -1.1210 eV/atom. The crystal system is trigonal.


# 2
HoTlAu2 | PBE | relaxed

Lattice parameters (Å, degrees): 4.8329 4.8329 3.8756 90.00 90.00 90.00
Positions (direct):
Ho1 0.0000 0.0000 0.0000
Tl1 0.5000 0.5000 0.0000
Au1 0.0000 0.5000 0.5000
Au2 0.5000 0.0000 0.5000

Results
The symmetry is No. 123. The formation enthalpy at 0 K comes out at -1.82 eV/f.u. The crystal system is tetragonal.


# 3
Y2Ta2ZnRh5 | PBE | relaxed

Lattice parameters (Å, degrees): 10.7363 10.7363 3.1563 90.00 90.00 90.00
Positions (direct):
Y1 0.1678 0.3322 0.0000
Y2 0.3322 0.8322 0.0000
Y3 0.6678 0.1678 0.0000
Y4 0.8322 0.6678 0.0000
Ta1 0.1400 0.6400 0.0000
Ta2 0.3600 0.1400 0.0000
Ta3 0.6400 0.8600 0.0000
Ta4 0.8600 0.3600 0.0000
Zn1 0.0000 0.0000 0.0000
Zn2 0.5000 0.5000 0.0000
Rh1 0.0000 0.5000 0.5000
Rh2 0.0579 0.8100 0.5000
Rh3 0.1900 0.0579 0.5000
Rh4 0.3100 0.5579 0.5000
Rh5 0.4421 0.3100 0.5000
Rh6 0.5000 0.0000 0.5000
Rh7 0.5579 0.6900 0.5000
Rh8 0.6900 0.4421 0.5000
Rh9 0.8100 0.9421 0.5000
Rh10 0.9421 0.1900 0.5000

Results
The symmetry is No. 127. The formation enthalpy at 0 K comes out at -4.09 eV/f.u. The crystal system is tetragonal.


# 4
VTe8Pd3 | PBE | relaxed

Lattice parameters (Å, degrees): 6.7836 6.7946 8.0839 107.36 107.38 106.66
Positions (direct):
V1 0.0000 0.0000 0.0000
Te1 0.0328 0.2990 0.8363
Te2 0.0398 0.2931 0.3328
Te3 0.4608 0.2067 0.6672
Te4 0.4622 0.1961 0.1631
Te5 0.5378 0.8039 0.8369
Te6 0.5392 0.7933 0.3328
Te7 0.9602 0.7069 0.6672
Te8 0.9672 0.7010 0.1637
Pd1 0.0000 0.0000 0.5000
Pd2 0.5000 0.5000 0.0000
Pd3 0.5000 0.5000 0.5000

Results
The symmetry is No. 2. The calculation puts the formation energy without anion corrections at -0.2868 eV/atom. The crystal system is triclinic.


# 5
TiZn2Cu8 | PBE | relaxed

Lattice parameters (Å, degrees): 6.8371 6.8371 5.9192 105.81 105.81 31.84
Positions (direct):
Ti1 0.0000 0.0000 0.0000
Zn1 0.2721 0.2721 0.3539
Zn2 0.7279 0.7279 0.6461
Cu1 0.0913 0.0913 0.4608
Cu2 0.1824 0.1824 0.9099
Cu3 0.3637 0.3637 0.8118
Cu4 0.4546 0.4546 0.2734
Cu5 0.5454 0.5454 0.7266
Cu6 0.6363 0.6363 0.1882
Cu7 0.8176 0.8176 0.0901
Cu8 0.9087 0.9087 0.5392

Results
The symmetry is No. 12. The formation enthalpy at 0 K comes out at -0.65 eV/f.u. The crystal system is monoclinic.


# 6
Rb2Zn2InO4 | PBE | relaxed

Lattice parameters (Å, degrees): 7.3867 7.3867 6.9817 112.01 112.01 26.02
Positions (direct):
Rb1 0.1245 0.1245 0.0368
Rb2 0.8755 0.8755 0.9632
Zn1 0.3203 0.3203 0.4698
Zn2 0.6797 0.6797 0.5302
In1 0.0000 0.0000 0.5000
O1 0.1708 0.1708 0.6876
O2 0.4654 0.4654 0.6815
O3 0.5346 0.5346 0.3185
O4 0.8292 0.8292 0.3124

Results
The symmetry is No. 12. The calculation puts the formation energy without anion corrections at -1.2220 eV/atom. The crystal system is monoclinic.


# 7
Cd5I3Cl12 | PBE | relaxed

Lattice parameters (Å, degrees): 15.0395 15.0395 15.0395 109.47 109.47 109.47
Positions (direct):
Cd1 0.0000 0.0000 0.0000
Cd2 0.0000 0.0000 0.5000
Cd3 0.0000 0.5000 0.0000
Cd4 0.0000 0.5000 0.5000
Cd5 0.1250 0.7500 0.8750
Cd6 0.1250 0.8750 0.2500
Cd7 0.2500 0.1250 0.8750
Cd8 0.2500 0.6250 0.3750
Cd9 0.3750 0.2500 0.6250
Cd10 0.3750 0.6250 0.7500
Cd11 0.5000 0.0000 0.0000
Cd12 0.5000 0.0000 0.5000
Cd13 0.5000 0.5000 0.0000
Cd14 0.5000 0.5000 0.5000
Cd15 0.6250 0.3750 0.2500
Cd16 0.6250 0.7500 0.3750
Cd17 0.7500 0.3750 0.6250
Cd18 0.7500 0.8750 0.1250
Cd19 0.8750 0.1250 0.7500
Cd20 0.8750 0.2500 0.1250
I1 0.1250 0.2500 0.3750
I2 0.1250 0.3750 0.7500
I3 0.2500 0.3750 0.1250
I4 0.2500 0.8750 0.6250
I5 0.3750 0.1250 0.2500
I6 0.3750 0.7500 0.1250
I7 0.6250 0.2500 0.8750
I8 0.6250 0.8750 0.7500
I9 0.7500 0.1250 0.3750
I10 0.7500 0.6250 0.8750
I11 0.8750 0.6250 0.2500
I12 0.8750 0.7500 0.6250
Cl1 0.0073 0.1848 0.1159
Cl2 0.0073 0.3225 0.8914
Cl3 0.0689 0.6848 0.6775
Cl4 0.0689 0.8841 0.3914
Cl5 0.1086 0.6159 0.4311
Cl6 0.1086 0.9927 0.6775
Cl7 0.1159 0.0073 0.1848
Cl8 0.1159 0.6086 0.9311
Cl9 0.1775 0.1848 0.5689
Cl10 0.1775 0.4927 0.6086
Cl11 0.1848 0.1159 0.0073
Cl12 0.1848 0.5689 0.1775
Cl13 0.3152 0.3225 0.9311
Cl14 0.3152 0.4927 0.3841
Cl15 0.3225 0.8914 0.0073
Cl16 0.3225 0.9311 0.3152
Cl17 0.3841 0.3152 0.4927
Cl18 0.3841 0.5689 0.8914
Cl19 0.3914 0.0689 0.8841
Cl20 0.3914 0.8225 0.5073
Cl21 0.4311 0.1086 0.6159
Cl22 0.4311 0.8225 0.8152
Cl23 0.4927 0.3841 0.3152
Cl24 0.4927 0.6086 0.1775
Cl25 0.5073 0.3914 0.8225
Cl26 0.5073 0.6159 0.6848
Cl27 0.5689 0.1775 0.1848
Cl28 0.5689 0.8914 0.3841
Cl29 0.6086 0.1775 0.4927
Cl30 0.6086 0.9311 0.1159
Cl31 0.6159 0.4311 0.1086
Cl32 0.6159 0.6848 0.5073
Cl33 0.6775 0.0689 0.6848
Cl34 0.6775 0.1086 0.9927
Cl35 0.6848 0.5073 0.6159
Cl36 0.6848 0.6775 0.0689
Cl37 0.8152 0.4311 0.8225
Cl38 0.8152 0.8841 0.9927
Cl39 0.8225 0.5073 0.3914
Cl40 0.8225 0.8152 0.4311
Cl41 0.8841 0.3914 0.0689
Cl42 0.8841 0.9927 0.8152
Cl43 0.8914 0.0073 0.3225
Cl44 0.8914 0.3841 0.5689
Cl45 0.9311 0.1159 0.6086
Cl46 0.9311 0.3152 0.3225
Cl47 0.9927 0.6775 0.1086
Cl48 0.9927 0.8152 0.8841

Results
The symmetry is No. 230. The calculation puts the formation energy without anion corrections at -0.5718 eV/atom. The crystal system is cubic.


# 8
Li8PrMg4 | PBE | relaxed

Lattice parameters (Å, degrees): 7.6464 7.6464 7.6464 98.70 98.70 134.24
Positions (direct):
Li1 0.0000 0.2113 0.2113
Li2 0.0000 0.7887 0.7887
Li3 0.1462 0.5000 0.6462
Li4 0.2113 0.0000 0.2113
Li5 0.5000 0.1462 0.6462
Li6 0.5000 0.8538 0.3538
Li7 0.7887 0.0000 0.7887
Li8 0.8538 0.5000 0.3538
Pr1 0.5000 0.5000 0.0000
Mg1 0.0000 0.0000 0.5000
Mg2 0.0000 0.5000 0.0000
Mg3 0.5000 0.0000 0.0000
Mg4 0.5000 0.5000 0.5000

Results
The symmetry is No. 139. The formation enthalpy at 0 K comes out at 0.09 eV/f.u. The crystal system is tetragonal.


# 9
Nb2FeN | PBE | relaxed

Lattice parameters (Å, degrees): 8.1360 8.1360 8.1360 20.58 20.58 20.58
Positions (direct):
Nb1 0.1077 0.1077 0.1077
Nb2 0.8923 0.8923 0.8923
Fe1 0.0000 0.0000 0.0000
N1 0.5000 0.5000 0.5000

Results
The symmetry is No. 166. The calculation puts the formation energy without anion corrections at 0.0305 eV/atom. The crystal system is trigonal.


# 10
Dy8Y2Cd | PBE | relaxed

Lattice parameters (Å, degrees): 8.5803 8.5803 6.4746 106.58 106.58 51.93
Positions (direct):
Dy1 0.1410 0.7349 0.7286
Dy2 0.1483 0.1483 0.8018
Dy3 0.2651 0.8590 0.2714
Dy4 0.2770 0.2770 0.4140
Dy5 0.7230 0.7230 0.5860
Dy6 0.7349 0.1410 0.7286
Dy7 0.8517 0.8517 0.1982
Dy8 0.8590 0.2651 0.2714
Y1 0.3826 0.3826 0.0253
Y2 0.6174 0.6174 0.9748
Cd1 0.5000 0.5000 0.5000

Results
The symmetry is No. 12. The formation enthalpy at 0 K comes out at 2.00 eV/f.u. The crystal system is monoclinic.


Number 1: raw total energy -13.8 eV per cell. Number 2: raw total energy -15.3 eV per cell. Number 3: raw total energy -157.5 eV per cell. Number 4: raw total energy -53.3 eV per cell. Number 5: raw total energy -43.9 eV per cell. Number 6: raw total energy -38.1 eV per cell. Number 7: raw total energy -171.3 eV per cell. Number 8: raw total energy -26.4 eV per cell. Number 9: raw total energy -36.8 eV per cell. Number 10: raw total energy -48.7 eV per cell.